AcMg2As | Alexandria via LeMat-Bulk | PBE | optimized geometry; calculated volume = 106.1 Å³/f.u.; ΔH_f (0 K) = -221 meV/atom; uncorrected energy = -12.8 eV per cell; magnetic moment = 0.000 μB/f.u.; crystal system = tetragonal; space group = P4/mmm, No. 123
1.0
3.686 0.000 0.000
0.000 3.686 0.000
0.000 0.000 7.809
Ac Mg As
1 2 1
Direct
0.000 0.000 0.000 Ac
0.500 0.500 0.318 Mg
0.500 0.500 0.682 Mg
0.000 0.000 0.500 As